1.
Material: Na2AgPt2
Method: DFT, GGA-PBE
State: optimized geometry

The structure in CIF format:
```
data_Na2AgPt2
_symmetry_space_group_name_H-M 'P 4/m b m'
_symmetry_Int_Tables_number 127
_symmetry_space_group_name_Hall '-P 4 2ab'
_cell_length_a 6.792
_cell_length_b 6.792
_cell_length_c 4.548
_cell_angle_alpha 90.00
_cell_angle_beta 90.00
_cell_angle_gamma 90.00
loop_
_atom_site_label
_atom_site_type_symbol
_atom_site_fract_x
_atom_site_fract_y
_atom_site_fract_z
_atom_site_occupancy
Na1 Na 0.170 0.330 0.000 1
Ag1 Ag 0.000 0.000 0.500 1
Pt1 Pt 0.132 0.632 0.500 1
```

Calculated values
Excess energy over the best structure of this formula in the dataset, kcal/mol of atoms: 0.00
Crystal system: tetragonal
E_tot, eV/cell: -35.220
Total moment, μB per formula unit: 0.000


2.
Material: Ac2HgAu5
Method: DFT, GGA-PBE
State: optimized geometry

The structure in CIF format:
```
data_Ac2HgAu5
_symmetry_space_group_name_H-M 'I 4 m m'
_symmetry_Int_Tables_number 107
_symmetry_space_group_name_Hall 'I 4 -2'
_cell_length_a 6.766
_cell_length_b 6.766
_cell_length_c 8.983
_cell_angle_alpha 90.00
_cell_angle_beta 90.00
_cell_angle_gamma 90.00
loop_
_atom_site_label
_atom_site_type_symbol
_atom_site_fract_x
_atom_site_fract_y
_atom_site_fract_z
_atom_site_occupancy
Ac1 Ac 0.000 0.500 0.000 1
Hg1 Hg 0.000 0.000 0.371 1
Au1 Au 0.000 0.000 0.028 1
Au2 Au 0.211 0.211 0.747 1
```

Calculated values
Crystal system: tetragonal
E_tot, eV/cell: -58.506
Total moment, μB per formula unit: 0.000


Per-record E_form, meV per atom: -8, -543